1.
# Sm8NiC3Br4

A relaxed Sm8NiC3Br4 crystal (PBE, the Alexandria database).

Cell lengths 7.698, 8.557, 7.703 Å; angles 116.78, 119.98, 90.00 degrees
Fractional coordinates of all 16 atoms:
Sm: 0.762 0.312 0.525
Sm: 0.713 0.688 0.951
Sm: 0.727 0.682 0.455
Sm: 0.273 0.318 0.545
Sm: 0.763 0.312 0.049
Sm: 0.238 0.688 0.475
Sm: 0.287 0.312 0.049
Sm: 0.237 0.688 0.951
Ni: 0.000 0.500 0.000
C: 0.500 0.500 0.000
C: 0.000 0.500 0.500
C: 0.500 0.500 0.500
Br: 0.500 0.000 0.000
Br: 0.000 0.000 0.000
Br: 0.500 0.000 0.500
Br: 0.000 0.000 0.500

Results
Formation energy without anion corrections = -0.8247 eV/atom
DOS at the Fermi energy = 9.21 states/eV/cell
Total moment = 0.000 μB per atom
Symmetry = R-3m, No. 166
Crystal system = trigonal



2.
# Ce3Tc2Hg

A relaxed Ce3Tc2Hg crystal (PBE, the Alexandria database).

Cell lengths 3.378, 3.378, 11.974 Å; angles 90.00, 90.00, 90.00 degrees
Fractional coordinates of all 6 atoms:
Hg: 0.500 0.500 0.500
Ce: 0.000 0.000 0.295
Ce: 0.000 0.000 0.000
Ce: 0.000 0.000 0.705
Tc: 0.500 0.500 0.151
Tc: 0.500 0.500 0.849

Results
Energy of formation = -0.138 eV/atom
DOS at the Fermi energy = 9.37 states/eV/cell
Total moment = 0.000 μB per atom
Symmetry = P4/mmm, No. 123
Crystal system = tetragonal



3.
# LiSmTh2Se5

A relaxed LiSmTh2Se5 crystal (PBE, the Alexandria database).

Cell lengths 4.067, 8.901, 12.621 Å; angles 90.00, 90.00, 103.21 degrees
Fractional coordinates of all 18 atoms:
Se: 0.498 0.997 0.290
Se: 0.291 0.583 0.662
Se: 0.639 0.279 0.498
Se: 0.693 0.385 0.833
Se: 0.307 0.615 0.333
Se: 0.709 0.417 0.162
Se: 0.959 0.918 0.578
Se: 0.361 0.721 0.998
Se: 0.502 0.003 0.790
Se: 0.041 0.082 0.078
Th: 0.127 0.255 0.298
Th: 0.873 0.745 0.798
Th: 0.112 0.225 0.681
Th: 0.888 0.775 0.181
Li: 0.508 0.016 0.984
Li: 0.492 0.984 0.484
Sm: 0.193 0.386 0.998
Sm: 0.807 0.614 0.498

Results
Formation energy without anion corrections = -1.5996 eV/atom
DOS at the Fermi energy = 10.01 states/eV/cell
Total moment = 0.000 μB per atom
Symmetry = Cmc2_1, No. 36
Crystal system = orthorhombic



4.
# GaCuN3

A relaxed GaCuN3 crystal (PBE, the Alexandria database).

Cell lengths 3.834, 3.834, 3.834 Å; angles 90.00, 90.00, 90.00 degrees
Fractional coordinates of all 5 atoms:
Ga: 0.000 0.000 0.000
N: 0.500 0.000 0.000
N: 0.000 0.500 0.000
N: 0.000 0.000 0.500
Cu: 0.500 0.500 0.500

Results
Formation energy without anion corrections = 1.9759 eV/atom
DOS at the Fermi energy = 8.03 states/eV/cell
Total moment = 0.000 μB per atom
Symmetry = Pm-3m, No. 221
Crystal system = cubic



5.
# SrRh3

A relaxed SrRh3 crystal (PBE, the Alexandria database).

Cell lengths 5.421, 5.421, 17.649 Å; angles 90.00, 90.00, 120.00 degrees
Fractional coordinates of all 24 atoms:
Sr: 0.333 0.667 0.040
Sr: 0.667 0.333 0.960
Sr: 0.667 0.333 0.750
Sr: 0.667 0.333 0.540
Sr: 0.333 0.667 0.250
Sr: 0.333 0.667 0.460
Rh: 0.835 0.669 0.130
Rh: 0.000 0.000 0.250
Rh: 0.165 0.835 0.630
Rh: 0.331 0.165 0.370
Rh: 0.669 0.835 0.870
Rh: 0.667 0.333 0.250
Rh: 0.331 0.165 0.130
Rh: 0.669 0.835 0.630
Rh: 0.835 0.165 0.370
Rh: 0.835 0.165 0.130
Rh: 0.333 0.667 0.750
Rh: 0.000 0.000 0.500
Rh: 0.000 0.000 0.000
Rh: 0.000 0.000 0.750
Rh: 0.165 0.331 0.630
Rh: 0.835 0.669 0.370
Rh: 0.165 0.835 0.870
Rh: 0.165 0.331 0.870

Results
Energy of formation = -0.168 eV/atom
DOS at the Fermi energy = 39.52 states/eV/cell
Total moment = 0.000 μB per atom
Symmetry = P6_3/mmc, No. 194
Crystal system = hexagonal



6.
# BaMg4Sn4

A relaxed BaMg4Sn4 crystal (PBE, the Alexandria database).

Cell lengths 7.350, 7.350, 9.614 Å; angles 90.00, 90.00, 90.00 degrees
Fractional coordinates of all 18 atoms:
Sn: 0.289 0.000 0.305
Sn: 0.500 0.789 0.805
Sn: 0.000 0.711 0.695
Sn: 0.000 0.289 0.695
Sn: 0.789 0.500 0.195
Sn: 0.211 0.500 0.195
Sn: 0.500 0.211 0.805
Sn: 0.711 0.000 0.305
Mg: 0.765 0.500 0.894
Mg: 0.735 0.000 0.606
Mg: 0.500 0.235 0.106
Mg: 0.235 0.500 0.894
Mg: 0.500 0.765 0.106
Mg: 0.265 0.000 0.606
Mg: 0.000 0.735 0.394
Mg: 0.000 0.265 0.394
Ba: 0.000 0.000 0.000
Ba: 0.500 0.500 0.500

Results
Energy of formation = -0.234 eV/atom
DOS at the Fermi energy = 8.31 states/eV/cell
Total moment = 0.000 μB per atom
Symmetry = P4_2/nmc, No. 137
Crystal system = tetragonal



7.
# Hf2TaW

A relaxed Hf2TaW crystal (PBE, the Alexandria database).

Cell lengths 4.771, 4.771, 4.771 Å; angles 60.00, 60.00, 60.00 degrees
Fractional coordinates of all 4 atoms:
Ta: 0.000 0.000 0.000
Hf: 0.750 0.750 0.750
Hf: 0.250 0.250 0.250
W: 0.500 0.500 0.500

Results
Energy of formation = 0.187 eV/atom
DOS at the Fermi energy = 7.24 states/eV/cell
Total moment = 0.000 μB per atom
Symmetry = Fm-3m, No. 225
Crystal system = cubic



8.
# WS2Cl

A relaxed WS2Cl crystal (PBE, the Alexandria database).

Cell lengths 4.421, 4.421, 4.421 Å; angles 60.00, 60.00, 60.00 degrees
Fractional coordinates of all 4 atoms:
W: 0.500 0.500 0.500
S: 0.250 0.250 0.250
S: 0.750 0.750 0.750
Cl: 0.000 0.000 0.000

Results
Formation energy without anion corrections = 0.6300 eV/atom
DOS at the Fermi energy = 2.05 states/eV/cell
Total moment = 0.015 μB per atom
Symmetry = Fm-3m, No. 225
Crystal system = cubic



9.
# GdHfCdHg

A relaxed GdHfCdHg crystal (PBE, the Alexandria database).

Cell lengths 5.134, 5.134, 5.134 Å; angles 60.00, 60.00, 60.00 degrees
Fractional coordinates of all 4 atoms:
Hg: 0.250 0.250 0.250
Cd: 0.750 0.750 0.750
Hf: 0.000 0.000 0.000
Gd: 0.500 0.500 0.500

Results
Energy of formation = -0.110 eV/atom
DOS at the Fermi energy = 2.47 states/eV/cell
Total moment = 2.033 μB per atom
Symmetry = F-43m, No. 216
Crystal system = cubic



10.
# Pm4AgOs

A relaxed Pm4AgOs crystal (PBE, the Alexandria database).

Cell lengths 6.349, 9.225, 7.817 Å; angles 114.48, 98.68, 115.63 degrees
Fractional coordinates of all 12 atoms:
Pm: 0.395 0.935 0.658
Pm: 0.762 0.723 0.658
Pm: 0.879 0.787 0.155
Pm: 0.777 0.368 0.155
Pm: 0.238 0.277 0.342
Pm: 0.121 0.213 0.845
Pm: 0.605 0.065 0.342
Pm: 0.223 0.632 0.845
Os: 0.751 0.001 0.002
Os: 0.249 0.999 0.998
Ag: 0.623 0.373 0.747
Ag: 0.377 0.627 0.253

Results
Energy of formation = -0.174 eV/atom
DOS at the Fermi energy = 12.41 states/eV/cell
Total moment = 0.000 μB per atom
Symmetry = C2/c, No. 15
Crystal system = monoclinic



11.
# NdDyC4

A relaxed NdDyC4 crystal (PBE, the Alexandria database).

Cell lengths 3.745, 4.205, 6.625 Å; angles 99.80, 106.42, 63.56 degrees
Fractional coordinates of all 6 atoms:
C: 0.807 0.600 0.214
C: 0.700 0.912 0.312
C: 0.300 0.088 0.688
C: 0.193 0.400 0.786
Nd: 0.000 0.000 0.000
Dy: 0.500 0.500 0.500

Results
Energy of formation = -0.152 eV/atom
DOS at the Fermi energy = 1.48 states/eV/cell
Total moment = 0.000 μB per atom
Symmetry = C2/m, No. 12
Crystal system = monoclinic



12.
# Sc3HPb

A relaxed Sc3HPb crystal (PBE, the Alexandria database).

Cell lengths 5.517, 5.517, 5.517 Å; angles 90.00, 90.00, 90.00 degrees
Fractional coordinates of all 5 atoms:
H: 0.500 0.500 0.500
Sc: 0.000 0.000 0.500
Sc: 0.500 0.000 0.000
Sc: 0.000 0.500 0.000
Pb: 0.000 0.000 0.000

Results
DOS at the Fermi energy = 7.79 states/eV/cell
Total moment = 0.757 μB per atom
Symmetry = Pm-3m, No. 221
DFT total energy = -20.92 eV/f.u.
Crystal system = cubic